No. 1
This record from the Alexandria database describes a relaxed ZrTa2Hg crystal. The functional is PBEsol.

ΔH_f (0 K)   2.6 kJ/mol of atoms

a = 3.4850 Å, b = 4.6791 Å, c = 9.3544 Å
α = 90.00°, β = 90.00°, γ = 90.00°
Last column: nearest neighbours and their distance in Å.
Space group Cmm2 (No. 35)
Unique sites:
1 Zr 0.0000 0.0000 0.0000  2 Ta 2.91, 4 Zr 2.92, 2 Hg 3.03
2 Ta 0.0000 0.0000 0.4810  6 Ta 2.78-2.92, 2 Hg 2.94
3 Ta 0.0000 0.5000 0.2491  6 Ta 2.78-2.92, 2 Zr 2.91
4 Hg 0.0000 0.5000 0.7344  4 Hg 2.92, 2 Ta 2.94, 2 Zr 3.03

***

No. 2
This record from the Alexandria database describes a relaxed Sr2HgGe crystal. The functional is PBEsol.

ΔH_f (0 K)   -58.2 kJ/mol of atoms

a = 7.7027 Å, b = 7.7027 Å, c = 7.7027 Å
α = 90.00°, β = 90.00°, γ = 90.00°
Last column: nearest neighbours and their distance in Å.
Space group Fm-3m (No. 225)
Unique sites:
1 Sr 0.2500 0.2500 0.2500  4 Ge 3.34, 4 Hg 3.34
2 Hg 0.0000 0.0000 0.0000  8 Sr 3.34
3 Ge 0.0000 0.0000 0.5000  8 Sr 3.34

***

No. 3
This record from the Alexandria database describes a relaxed Na6V2B4AsO16 crystal. The functional is PBEsol.

Energy relative to the elements, uncorrected   -2088 meV per atom

a = 13.9169 Å, b = 13.9169 Å, c = 13.9169 Å
α = 90.00°, β = 90.00°, γ = 90.00°
Last column: nearest neighbours and their distance in Å.
Space group Fd-3 (No. 203, origin choice 2)
Unique sites:
1 Na 0.0865 0.3750 0.3750  6 O 2.40-2.53
2 V 0.0000 0.0000 0.5000  6 O 1.89
3 B 0.0399 0.0399 0.7101  3 O 1.38
4 As 0.1250 0.1250 0.1250  4 O 1.71
5 O 0.0191 0.2700 0.8832  1 B 1.38
6 O 0.0539 0.0539 0.0539  1 As 1.71

***

No. 4
This record from the Alexandria database describes a relaxed YTi2IrW crystal. The functional is PBEsol.

ΔH_f (0 K)   89.7 kJ/mol of atoms

a = 4.6398 Å, b = 4.6398 Å, c = 5.1576 Å
α = 90.00°, β = 90.00°, γ = 90.00°
Last column: nearest neighbours and their distance in Å.
Space group P4/mmm (No. 123)
Unique sites:
1 Y 0.0000 0.0000 0.0000  2 Ir 2.58
2 Ti 0.0000 0.5000 0.5000  2 Ir 2.32
3 Ir 0.0000 0.0000 0.5000  4 Ti 2.32, 2 Y 2.58
4 W 0.5000 0.5000 0.0000  4 Y 3.28, 8 Ti 3.47

***

No. 5
This record from the Alexandria database describes a relaxed SrCdAg2 crystal. The functional is PBEsol.

ΔH_f (0 K)   -9.4 kJ/mol of atoms

a = 7.1383 Å, b = 7.1383 Å, c = 7.1383 Å
α = 90.00°, β = 90.00°, γ = 90.00°
Last column: nearest neighbours and their distance in Å.
Space group F-43m (No. 216)
Unique sites:
1 Sr 0.0000 0.0000 0.0000  4 Cd 3.09, 4 Ag 3.09
2 Cd 0.2500 0.2500 0.2500  4 Sr 3.09, 4 Ag 3.09
3 Ag 0.0000 0.0000 0.5000  4 Ag 3.09, 4 Cd 3.09
4 Ag 0.2500 0.2500 0.7500  4 Sr 3.09, 4 Ag 3.09

***

No. 6
This record from the Alexandria database describes a relaxed Sr2LiAu2 crystal. The functional is PBEsol.

Distance to the lowest polymorph of the same formula   307 meV per atom
ΔH_f (0 K)   -25.5 kJ/mol of atoms

a = 3.9440 Å, b = 3.9440 Å, c = 19.0849 Å
α = 90.00°, β = 90.00°, γ = 90.00°
Last column: nearest neighbours and their distance in Å.
Space group I4/mmm (No. 139)
Unique sites:
1 Sr 0.0000 0.0000 0.1213  4 Au 3.15
2 Li 0.0000 0.0000 0.5000  8 Sr 3.62, 4 Li 3.94
3 Au 0.0000 0.5000 0.2500  4 Au 2.79

***

No. 7
This record from the Alexandria database describes a relaxed Re2BrN crystal. The functional is PBEsol.

Energy relative to the elements, uncorrected   1672 meV per atom

a = 5.8643 Å, b = 5.8643 Å, c = 5.8643 Å
α = 90.00°, β = 90.00°, γ = 90.00°
Last column: nearest neighbours and their distance in Å.
Space group Fm-3m (No. 225)
Unique sites:
1 Re 0.2500 0.2500 0.2500  4 Br 2.54, 4 N 2.54
2 Br 0.0000 0.0000 0.0000  8 Re 2.54
3 N 0.0000 0.0000 0.5000  8 Re 2.54

***

No. 8
This record from the Alexandria database describes a relaxed CsAgCl2 crystal. The functional is PBEsol.

Distance to the lowest polymorph of the same formula   7 meV per atom
Energy relative to the elements, uncorrected   -1201 meV per atom

a = 4.3620 Å, b = 18.8436 Å, c = 5.5230 Å
α = 90.00°, β = 90.00°, γ = 90.00°
Last column: nearest neighbours and their distance in Å.
Space group Cmcm (No. 63)
Unique sites:
1 Cs 0.0000 0.0864 0.2500  8 Cl 3.44-3.63
2 Ag 0.0000 0.3008 0.2500  3 Cl 2.48-2.58
3 Cl 0.0000 0.2723 0.7500  4 Ag 2.58-2.81
4 Cl 0.0000 0.4322 0.2500  1 Ag 2.48

***

No. 9
This record from the Alexandria database describes a relaxed BaCa2W crystal. The functional is PBEsol.

Distance to the lowest polymorph of the same formula   80 meV per atom
ΔH_f (0 K)   102.6 kJ/mol of atoms

a = 5.5005 Å, b = 5.5005 Å, c = 7.8912 Å
α = 90.00°, β = 90.00°, γ = 90.00°
Last column: nearest neighbours and their distance in Å.
Space group I4/mmm (No. 139)
Unique sites:
1 Ba 0.0000 0.0000 0.0000  8 Ca 3.38
2 Ca 0.0000 0.5000 0.2500  4 Ba 3.38, 4 W 3.38
3 W 0.0000 0.0000 0.5000  8 Ca 3.38

***

No. 10
This record from the Alexandria database describes a relaxed MoSe2Br crystal. The functional is PBEsol.

Distance to the lowest polymorph of the same formula   1020 meV per atom
Energy relative to the elements, uncorrected   712 meV per atom

a = 3.8701 Å, b = 3.8701 Å, c = 5.5034 Å
α = 90.00°, β = 90.00°, γ = 90.00°
Last column: nearest neighbours and their distance in Å.
Space group P4/mmm (No. 123)
Unique sites:
1 Mo 0.0000 0.0000 0.0000  4 Br 2.74
2 Se 0.0000 0.5000 0.5000  4 Se 2.74
3 Br 0.5000 0.5000 0.0000  4 Mo 2.74

***

No. 11
This record from the Alexandria database describes a relaxed Ca2TcRh crystal. The functional is PBEsol.

Distance to the lowest polymorph of the same formula   0 meV per atom
ΔH_f (0 K)   27.6 kJ/mol of atoms

a = 3.0326 Å, b = 5.0355 Å, c = 10.5404 Å
α = 90.00°, β = 90.00°, γ = 90.00°
Last column: nearest neighbours and their distance in Å.
Space group Imm2 (No. 44)
Unique sites:
1 Ca 0.0000 0.0000 0.0000  4 Rh 2.97, 2 Ca 3.03, 2 Tc 3.23
2 Ca 0.0000 0.5000 0.2069  2 Rh 2.99, 4 Tc 3.01, 4 Ca 3.03-3.33
3 Tc 0.0000 0.5000 0.7702  2 Rh 2.53
4 Rh 0.0000 0.0000 0.4627  2 Tc 2.53

***

No. 12
This record from the Alexandria database describes a relaxed Mg14MnCdO16 crystal. The functional is PBEsol.

Distance to the lowest polymorph of the same formula   2 meV per atom
Energy relative to the elements, uncorrected   -2504 meV per atom

a = 4.2830 Å, b = 8.5459 Å, c = 8.5629 Å
α = 90.00°, β = 90.00°, γ = 90.00°
Last column: nearest neighbours and their distance in Å.
Space group Pmmm (No. 47)
Unique sites:
1 Mg 0.0000 0.0000 0.0000  6 O 2.06-2.14
2 Mg 0.0000 0.2483 0.2465  6 O 2.11-2.17
3 Mg 0.0000 0.5000 0.0000  6 O 2.01-2.15
4 Mg 0.5000 0.0000 0.2480  6 O 2.12-2.16
5 Mg 0.5000 0.2465 0.5000  6 O 2.11-2.17
6 Mg 0.5000 0.2496 0.0000  6 O 2.13-2.15
7 Mg 0.5000 0.5000 0.2450  6 O 2.10-2.18
8 Mn 0.0000 0.0000 0.5000  6 O 2.04-2.22
9 Cd 0.0000 0.5000 0.5000  6 O 2.14-2.28
10 O 0.0000 0.0000 0.2411  5 Mg 2.06-2.14, 1 Mn 2.22
11 O 0.0000 0.2390 0.5000  1 Mn 2.04, 4 Mg 2.14-2.17, 1 Cd 2.23
12 O 0.0000 0.2486 0.0000  6 Mg 2.11-2.15
13 O 0.0000 0.5000 0.2343  5 Mg 2.01-2.15
14 O 0.5000 0.0000 0.0000  6 Mg 2.12-2.14
15 O 0.5000 0.0000 0.5000  4 Mg 2.11-2.16, 2 Mn 2.14
16 O 0.5000 0.2502 0.2510  6 Mg 2.13-2.15
17 O 0.5000 0.5000 0.0000  6 Mg 2.10-2.14
18 O 0.5000 0.5000 0.5000  2 Cd 2.14, 4 Mg 2.17-2.18

***

Number 1: density of states at the Fermi level 0.975 states/eV per atom. Number 2: density of states at the Fermi level 0.063 states/eV per atom. Number 3: density of states at the Fermi level 0.158 states/eV per atom. Number 4: density of states at the Fermi level 1.428 states/eV per atom. Number 5: density of states at the Fermi level 0.428 states/eV per atom. Number 6: density of states at the Fermi level 0.426 states/eV per atom. Number 7: density of states at the Fermi level 0.773 states/eV per atom. Number 8: density of states at the Fermi level 0.000 states/eV per atom. Number 9: density of states at the Fermi level 1.357 states/eV per atom. Number 10: density of states at the Fermi level 0.709 states/eV per atom. Number 11: density of states at the Fermi level 1.108 states/eV per atom. Number 12: density of states at the Fermi level 0.014 states/eV per atom.